(1)
A geometry-optimized Dy5HoTm2 structure, computed with PBE-GGA.

Unit cell a=5.5746 b=16.2105 c=11.3093 alpha=90.00 beta=90.00 gamma=90.00
Closest atoms and distances in Å follow each position.
Space group Cmcm (No. 63)
Unique sites:
Dy  0.0000  0.0456  0.1122 [8 per cell]  2 Dy 2.94-3.12
Dy  0.0000  0.3941  0.7500 [4 per cell]  8 Dy 3.34-3.74, 2 Ho 3.41, 2 Tm 3.50
Dy  0.0000  0.4118  0.0797 [8 per cell]  7 Dy 3.38-3.74, 3 Tm 3.45-3.68, 1 Ho 3.56
Ho  0.0000  0.2274  0.2500 [4 per cell]  6 Dy 3.33-3.56, 6 Tm 3.52-3.73
Tm  0.0000  0.2140  0.5794 [8 per cell]  5 Dy 3.45-3.68, 3 Tm 3.52-3.86, 3 Ho 3.52-3.73

Summary:
Volume ... 1022 Å³/cell
E ... -4.427 eV per atom
DFT formation energy ... 0.14 eV/atom

---

(2)
A geometry-optimized Dy2Ho3Tm5 structure, computed with PBE-GGA.

Unit cell a=12.6201 b=16.7923 c=6.1730 alpha=90.00 beta=90.00 gamma=90.00
Closest atoms and distances in Å follow each position.
Space group Ibam (No. 72)
Unique sites:
Dy  0.1008  0.1566  0.0000 [8 per cell]  1 Tm 3.15, 3 Ho 3.30-3.41
Ho  0.0000  0.0000  0.2500 [4 per cell]  2 Ho 3.09, 2 Tm 3.17, 4 Dy 3.30
Ho  0.1592  0.2496  0.5000 [8 per cell]  4 Dy 3.41-3.63, 4 Tm 3.44-3.62
Tm  0.0000  0.5000  0.2500 [4 per cell]  8 Tm 3.09-3.28
Tm  0.0984  0.3440  0.0000 [8 per cell]  1 Dy 3.15, 2 Tm 3.28, 1 Ho 3.44
Tm  0.2486  0.5000  0.2500 [8 per cell]  3 Tm 3.09-3.14, 1 Ho 3.17

Summary:
Volume ... 1308 Å³/cell
E ... -4.170 eV per atom
DFT formation energy ... 0.36 eV/atom

---

(3)
A geometry-optimized Dy3HoTm2 structure, computed with PBE-GGA.

Unit cell a=7.0890 b=7.0898 c=8.7099 alpha=101.71 beta=90.04 gamma=119.98
Closest atoms and distances in Å follow each position.
Space group P-1 (No. 2)
Unique sites:
Dy  0.1397  0.2785  0.3348 [2 per cell]  6 Tm 3.47-3.55, 4 Dy 3.47-3.55, 2 Ho 3.49-3.50
Dy  0.1399  0.7787  0.3349 [2 per cell]  6 Tm 3.47-3.55, 5 Dy 3.47-3.55, 1 Ho 3.50
Dy  0.2504  0.4999  0.9992 [2 per cell]  3 Tm 3.48-3.49, 5 Dy 3.50-3.55, 4 Ho 3.54-3.55
Ho  0.2506  0.0000  0.9992 [2 per cell]  3 Tm 3.49, 7 Dy 3.49-3.55, 2 Ho 3.54-3.55
Tm  0.3617  0.2223  0.6658 [2 per cell]  8 Dy 3.47-3.55, 3 Tm 3.47-3.54, 1 Ho 3.49
Tm  0.3617  0.7223  0.6661 [2 per cell]  7 Dy 3.47-3.55, 3 Tm 3.47-3.54, 2 Ho 3.49

Summary:
Volume ... 369 Å³/cell
E ... -4.557 eV per atom
DFT formation energy ... 0.00 eV/atom

---

(4)
A geometry-optimized Dy2Ho3Tm4 structure, computed with PBE-GGA.

Unit cell a=16.0092 b=11.4149 c=6.0453 alpha=90.00 beta=95.99 gamma=90.00
Closest atoms and distances in Å follow each position.
Space group C2/c (No. 15)
Unique sites:
Dy  0.1217  0.1430  0.3212 [8 per cell]  4 Tm 3.24-3.55, 4 Ho 3.36-3.44
Ho  0.0000  0.0964  0.7500 [4 per cell]  4 Dy 3.36-3.44, 4 Tm 3.43-3.46, 2 Ho 3.74
Ho  0.1658  0.4032  0.5898 [8 per cell]  6 Tm 3.32-3.46, 2 Dy 3.42-3.43
Tm  0.0459  0.3584  0.0144 [8 per cell]  1 Dy 3.24, 4 Ho 3.33-3.43, 3 Tm 3.34-3.55
Tm  0.2142  0.1404  0.8478 [8 per cell]  1 Tm 3.24, 4 Ho 3.32-3.46, 3 Dy 3.36-3.55

Summary:
Volume ... 1099 Å³/cell
E ... -4.431 eV per atom
DFT formation energy ... 0.10 eV/atom

---

(5)
A geometry-optimized Dy6HoTm structure, computed with PBE-GGA.

Unit cell a=4.9883 b=4.9883 c=9.9668 alpha=90.00 beta=90.00 gamma=90.00
Closest atoms and distances in Å follow each position.
Space group P4/mmm (No. 123)
Unique sites:
Dy  0.0000  0.0000  0.0000 [1 per cell]  8 Dy 3.52, 4 Tm 3.53
Dy  0.0000  0.0000  0.5000 [1 per cell]  4 Ho 3.53, 8 Dy 3.53
Dy  0.0000  0.5000  0.2494 [4 per cell]  8 Dy 3.52-3.53, 2 Tm 3.52, 2 Ho 3.53
Ho  0.5000  0.5000  0.5000 [1 per cell]  12 Dy 3.53
Tm  0.5000  0.5000  0.0000 [1 per cell]  12 Dy 3.52-3.53

Summary:
Volume ... 248 Å³/cell
E ... -4.561 eV per atom
DFT formation energy ... 0.02 eV/atom

---

(6)
A geometry-optimized DyHo2Tm5 structure, computed with PBE-GGA.

Unit cell a=6.9904 b=6.9904 c=9.8797 alpha=90.00 beta=90.00 gamma=90.00
Closest atoms and distances in Å follow each position.
Space group I4/mmm (No. 139)
Unique sites:
Dy  0.0000  0.0000  0.0000 [2 per cell]  8 Tm 3.49, 4 Ho 3.50
Ho  0.0000  0.5000  0.0000 [4 per cell]  10 Tm 3.49-3.50, 2 Dy 3.50
Tm  0.0000  0.0000  0.5000 [2 per cell]  8 Tm 3.49, 4 Ho 3.50
Tm  0.2500  0.2500  0.2500 [8 per cell]  2 Dy 3.49, 6 Tm 3.49-3.50, 4 Ho 3.49

Summary:
Volume ... 483 Å³/cell
E ... -4.489 eV per atom
DFT formation energy ... 0.02 eV/atom

---

- What is the volume in the fourth record?
  1099 Å³/cell

---

- Among the records above, which one has the highest E?
  Dy2Ho3Tm5